[1]
VASP calculation (PBE-GGA) on a relaxed structure of DyHo2Al3Si2Ir.

Cell and atoms, written as POSCAR:
```
DyHo2Al3Si2Ir
1.0
4.213 0.000 0.000
0.000 5.971 3.446
0.000 -5.971 3.446
Al Dy Ho Ir Si
3 1 2 1 2
Cartesian
2.106 4.576 4.250
2.106 0.000 5.284
2.106 -4.576 4.250
0.000 0.000 2.869
0.000 3.488 2.014
0.000 -3.488 2.014
0.000 0.000 6.886
2.106 1.995 3.447
2.106 -1.995 3.447
```

DFT total energy: -52.49 eV per cell
Space-group type: No. 38
Theoretical density: 7.87 g/cm3
Magnetization: 0.00 μB/cell

***

[2]
VASP calculation (PBE-GGA) on a relaxed structure of Al2Zn2Ag.

Cell and atoms, written as POSCAR:
```
Al2Zn2Ag
1.0
-1.879 1.879 6.272
1.879 -1.879 6.272
1.879 1.879 -6.272
Ag Al Zn
1 2 2
Cartesian
0.000 0.000 0.000
0.000 0.000 4.997
0.000 0.000 7.546
0.000 1.879 3.136
1.879 0.000 3.136
```

DFT total energy: -12.04 eV per cell
Space-group type: No. 139
Theoretical density: 5.48 g/cm3